## TiIn2Cl (SCAN)

Data for a crystal of TiIn2Cl relaxed with PBEsol.

Output
Density of states at the Fermi level: 0.715 states/eV per atom
Raw formation energy: 0.97 eV per formula unit
Raw total energy: -359.3 eV for the cell shown
Magnetization: 5.04 μB per cell

Structure (CIF):
```
data_TiIn2Cl
_chemical_formula_sum 'Ti4 In8 Cl4'
_space_group_name_H-M_alt 'F m -3 m'
_space_group_IT_number 225
_space_group_name_Hall '-F 4 2 3'
_cell_length_a 7.0942
_cell_length_b 7.0942
_cell_length_c 7.0942
_cell_angle_alpha 90.00
_cell_angle_beta 90.00
_cell_angle_gamma 90.00
loop_
_atom_site_label
_atom_site_type_symbol
_atom_site_fract_x
_atom_site_fract_y
_atom_site_fract_z
_atom_site_occupancy
Ti1 Ti 0.0000 0.0000 0.0000 1
In1 In 0.2500 0.2500 0.2500 1
Cl1 Cl 0.0000 0.0000 0.5000 1
```